# ZrCuAs, single point on PBEsol structure, DFT meta-GGA SCAN
# theoretical density	7.9	g/cm3
# ΔE_f	-0.761	eV/atom
# N(E_F)	0.105	states/eV/atom
data_ZrCuAs
_space_group_name_H-M_alt 'P -6 m 2'
_space_group_IT_number 187
_space_group_name_Hall 'P -6 2'
_cell_length_a 3.9456
_cell_length_b 3.9456
_cell_length_c 3.5805
_cell_angle_alpha 90.00
_cell_angle_beta 90.00
_cell_angle_gamma 120.00
loop_
_atom_site_label
_atom_site_type_symbol
_atom_site_fract_x
_atom_site_fract_y
_atom_site_fract_z
_atom_site_occupancy
Zr1 Zr 0.0000 0.0000 0.0000 1
Cu1 Cu 0.3333 0.6667 0.5000 1
As1 As 0.6667 0.3333 0.5000 1